<P>
First-principles (PBE) data for a geometry-optimized GaGe structure, as listed in Alexandria.

- calculated density (kg/m3) = 4748

```
12
Lattice="4.228 0.000 0.000 0.000 6.908 0.000 0.000 0.000 10.230" Properties=species:S:1:pos:R:3 pbc="T T T"
Ga 0.000 5.459 6.695
Ga 0.000 5.459 3.535
Ga 2.114 1.449 8.650
Ga 2.114 1.449 1.580
Ga 0.000 4.597 0.000
Ga 2.114 2.311 5.115
Ge 2.114 3.367 0.000
Ge 2.114 0.079 6.461
Ge 2.114 0.079 3.768
Ge 0.000 6.829 8.883
Ge 0.000 3.541 5.115
Ge 0.000 6.829 1.346
```

---

<Q>
First-principles (PBE) data for a geometry-optimized GaGe structure, as listed in Alexandria.

- calculated density (kg/m3) = 3768

```
16
Lattice="7.947 0.000 0.000 0.000 7.947 0.000 0.000 0.000 7.947" Properties=species:S:1:pos:R:3 pbc="T T T"
Ge 6.656 1.291 1.291
Ge 5.264 5.264 2.683
Ge 1.291 6.656 1.291
Ge 2.683 5.264 5.264
Ge 5.264 2.683 5.264
Ge 2.683 2.683 2.683
Ge 6.656 6.656 6.656
Ge 1.291 1.291 6.656
Ga 2.701 5.246 2.701
Ga 5.246 5.246 5.246
Ga 5.246 2.701 2.701
Ga 1.272 1.272 1.272
Ga 2.701 2.701 5.246
Ga 6.675 1.272 6.675
Ga 6.675 6.675 1.272
Ga 1.272 6.675 6.675
```

---

Which of them is the most stable, and which is the least stable? <P> and <Q>, in that order.

---

<P>
First-principles (PBE) data for a geometry-optimized NaYZr structure, as listed in Alexandria.

- calculated density (kg/m3) = 3995

```
12
Lattice="5.155 0.000 0.000 0.000 5.811 0.000 0.000 0.000 11.273" Properties=species:S:1:pos:R:3 pbc="T T T"
Zr 1.290 4.358 9.015
Zr 3.865 1.453 2.258
Zr 1.287 1.453 3.378
Zr 3.868 4.358 7.894
Na 3.866 4.358 3.671
Na 1.288 4.358 1.966
Na 1.289 1.453 7.602
Na 3.867 1.453 9.307
Y 3.866 1.453 5.509
Y 3.867 4.358 11.145
Y 1.289 4.358 5.764
Y 1.288 1.453 0.128
```

---

<Q>
First-principles (PBE) data for a geometry-optimized NaYZr structure, as listed in Alexandria.

- calculated density (kg/m3) = 3773

```
6
Lattice="-0.625 0.988 -3.165 2.855 -1.478 -1.024 -7.849 -13.349 -2.617" Properties=species:S:1:pos:R:3 pbc="T T T"
Y -6.480 -9.997 -3.639
Y -0.253 -3.597 -1.073
Zr -5.881 -13.169 -2.949
Zr -0.852 -0.424 -1.763
Na -3.263 -8.717 -2.076
Na -3.470 -4.877 -2.636
```

---

Which of them is the most stable, and which is the least stable? <Q> and <P>, in that order.

---

<P>
First-principles (PBE) data for a geometry-optimized PmYHoHg structure, as listed in Alexandria.

- calculated density (kg/m3) = 8461

```
4
Lattice="3.629 0.000 0.000 0.000 3.629 0.000 0.000 0.000 8.931" Properties=species:S:1:pos:R:3 pbc="T T T"
Ho 1.815 1.815 3.157
Pm 0.000 0.000 0.659
Hg 0.000 0.000 5.075
Y 1.815 1.815 7.047
```

---

<Q>
First-principles (PBE) data for a geometry-optimized PmYHoHg structure, as listed in Alexandria.

- calculated density (kg/m3) = 8766

```
4
Lattice="-0.649 3.772 -3.859 -4.623 2.846 -0.268 -0.028 5.271 1.328" Properties=species:S:1:pos:R:3 pbc="T T T"
Hg 0.000 0.000 0.000
Y -3.975 8.916 -2.099
Ho -1.325 2.972 -0.700
Pm -2.650 5.944 -1.400
```

---

Which of them is the most stable, and which is the least stable? <P> and <Q>, in that order.